# 1
Below is Ho6ThIn after structural relaxation, with properties calculated at the PBE-GGA level.

Total magnetic moment (μB/cell): 0.004

Cell: 4.906 4.906 9.893 Å, 90.00 90.00 90.00°
Positions (direct):
In  0.000  0.000  0.500
Ho  0.000  0.500  0.746
Ho  0.500  0.000  0.254
Ho  0.500  0.500  0.500
Ho  0.000  0.500  0.254
Th  0.000  0.000  0.000
Ho  0.500  0.500  0.000
Ho  0.500  0.000  0.746

=====

# 2
Below is La12Nd3Tm after structural relaxation, with properties calculated at the PBE-GGA level.

Total magnetic moment (μB/cell): 0.000

Cell: 5.233 5.233 20.954 Å, 90.00 90.00 90.00°
Positions (direct):
Nd  0.000  0.000  0.249
Nd  0.000  0.000  0.751
La  0.500  0.000  0.626
La  0.000  0.500  0.877
La  0.500  0.500  0.249
La  0.500  0.500  0.000
Nd  0.000  0.000  0.500
La  0.500  0.000  0.877
Tm  0.000  0.000  0.000
La  0.000  0.500  0.374
La  0.500  0.000  0.374
La  0.000  0.500  0.123
La  0.000  0.500  0.626
La  0.500  0.000  0.123
La  0.500  0.500  0.500
La  0.500  0.500  0.751

=====

# 3
Below is TlAsSe2 after structural relaxation, with properties calculated at the PBE-GGA level.

Total magnetic moment (μB/cell): 0.000
Energy relative to the elements, uncorrected (eV/atom): 0.2483

Cell: 3.595 5.037 5.037 Å, 90.00 90.00 90.00°
Positions (direct):
Se  0.000  0.500  0.500
As  0.500  0.000  0.500
Tl  0.500  0.500  0.000
Se  0.000  0.000  0.000

=====

# 4
Below is PuHg2Bi2 after structural relaxation, with properties calculated at the PBE-GGA level.

Energy relative to the lowest polymorph listed for this composition (eV per formula unit): 0.00
Total magnetic moment (μB/cell): 10.959

Cell: 4.679 4.607 13.034 Å, 90.00 100.34 90.00°
Positions (direct):
Bi  0.750  0.250  0.500
Pu  0.644  0.750  0.287
Bi  0.250  0.750  0.500
Bi  0.860  0.750  0.720
Pu  0.356  0.250  0.713
Hg  0.046  0.750  0.092
Hg  0.543  0.250  0.087
Hg  0.954  0.250  0.908
Hg  0.457  0.750  0.913
Bi  0.140  0.250  0.280

=====

# 5
Below is Tb2ErTmTe5 after structural relaxation, with properties calculated at the PBE-GGA level.

Total magnetic moment (μB/cell): 0.479
Energy relative to the elements, uncorrected (eV/atom): -0.6744

Cell: 5.492 5.492 11.438 Å, 90.00 90.00 90.00°
Positions (direct):
Er  0.000  0.000  0.000
Tb  0.500  0.500  0.654
Te  0.000  0.000  0.754
Te  0.000  0.500  0.500
Te  0.000  0.000  0.246
Tm  0.000  0.000  0.500
Te  0.500  0.000  0.500
Tb  0.500  0.500  0.346
Te  0.500  0.500  0.000

=====

# 6
Below is CuNiBr2 after structural relaxation, with properties calculated at the PBE-GGA level.

Energy relative to the lowest polymorph listed for this composition (eV per formula unit): 2.25
Total magnetic moment (μB/cell): 1.007
Energy relative to the elements, uncorrected (eV/atom): 0.4494

Cell: 4.704 4.704 4.704 Å, 60.00 60.00 60.00°
Positions (direct):
Br  0.250  0.250  0.250
Br  0.750  0.750  0.750
Ni  0.000  0.000  0.000
Cu  0.500  0.500  0.500

=====

# 7
Below is Tb3TmAl8 after structural relaxation, with properties calculated at the PBE-GGA level.

Energy relative to the lowest polymorph listed for this composition (eV per formula unit): 0.11
Total magnetic moment (μB/cell): 0.000

Cell: 5.552 5.552 9.116 Å, 90.00 90.00 120.00°
Positions (direct):
Al  0.505  0.009  0.749
Tb  0.000  0.000  0.932
Al  0.505  0.495  0.749
Tb  0.667  0.333  0.069
Al  0.676  0.838  0.251
Al  0.162  0.324  0.251
Al  0.991  0.495  0.749
Al  0.333  0.667  0.999
Al  0.162  0.838  0.251
Tm  0.000  0.000  0.568
Tb  0.667  0.333  0.433
Al  0.333  0.667  0.501

=====

# 8
Below is SrErAl2Au5 after structural relaxation, with properties calculated at the PBE-GGA level.

Total magnetic moment (μB/cell): 0.000

Cell: 4.891 4.891 8.187 Å, 90.00 90.00 90.00°
Positions (direct):
Au  0.000  0.500  0.762
Er  0.000  0.000  0.000
Au  0.000  0.500  0.238
Al  0.500  0.500  0.839
Sr  0.000  0.000  0.500
Au  0.500  0.000  0.762
Au  0.500  0.000  0.238
Au  0.500  0.500  0.500
Al  0.500  0.500  0.161

=====

Going through the records in order, we get raw total energy values of -38.4 -77.8 -13.0 -47.0 -40.1 -11.4 -54.4 -35.1 eV/cell.